Record 1
## Tl2OsRu (GGA-PBE)

Data for a relaxed structure of Tl2OsRu.

The structure belongs to space group Pmm2 (No. 25); the cell edges are 2.8802, 3.4980 and 8.3923 Å and the angles 90.00°, 90.00° and 90.00°. The asymmetric unit holds Tl at (0.0000, 0.0000, 0.0000), Tl at (0.5000, 0.5000, 0.3446), Os at (0.0000, 0.0000, 0.6024) and Ru at (0.5000, 0.5000, 0.7437).

As for the total energy: -0.212 Ha/atom. The calculation puts the total moment at 0.00 μB/cell. The calculation puts the density of states at the Fermi level at 2.6 states/eV/f.u. Its energy relative to the elements is 0.544 eV/atom.

Record 2
## Ba2SrLaH (GGA-PBE)

Data for a relaxed structure of Ba2SrLaH.

The structure belongs to space group P4/mmm (No. 123); the cell edges are 6.3324, 6.3324 and 4.9799 Å and the angles 90.00°, 90.00° and 90.00°. The asymmetric unit holds Ba at (0.0000, 0.5000, 0.0000), Sr at (0.0000, 0.0000, 0.5000), La at (0.5000, 0.5000, 0.5000) and H at (0.0000, 0.0000, 0.0000).

As for the total energy: -0.102 Ha/atom. The calculation puts the total moment at 0.00 μB/cell. The calculation puts the density of states at the Fermi level at 4.3 states/eV/f.u.

Q: Number 1 is which compound?
A: Tl2OsRu

Copy entry 1 word for word.
## Tl2OsRu (GGA-PBE)

Data for a relaxed structure of Tl2OsRu.

The structure belongs to space group Pmm2 (No. 25); the cell edges are 2.8802, 3.4980 and 8.3923 Å and the angles 90.00°, 90.00° and 90.00°. The asymmetric unit holds Tl at (0.0000, 0.0000, 0.0000), Tl at (0.5000, 0.5000, 0.3446), Os at (0.0000, 0.0000, 0.6024) and Ru at (0.5000, 0.5000, 0.7437).

As for the total energy: -0.212 Ha/atom. The calculation puts the total moment at 0.00 μB/cell. The calculation puts the density of states at the Fermi level at 2.6 states/eV/f.u. Its energy relative to the elements is 0.544 eV/atom.

Q: What is the total moment in the second record?
A: 0.00 μB/cell